Material: UP2Ru
Method: DFT, GGA-PBE
State: relaxed

Calculated values
- E_form (eV/atom) = -0.80
- DOS at the Fermi energy (states/eV/cell) = 6.0
- energy (eV per cell) = -34.6

Lattice parameters (Å, degrees): 3.8453 3.8453 5.7233 70.37 70.37 60.00
Element x y z (fractional)
1 P 0.2312 0.2312 0.3063
2 P 0.7688 0.7688 0.6937
3 Ru 0.5000 0.5000 0.5000
4 U 0.0000 0.0000 0.0000